(1)
Computed, not measured: a geometry-optimized BaTl2In structure at the PBE level of DFT.

Properties
total moment	0.00	μB/f.u.
electronic total energy	-2.479	eV/atom
calculated formation energy	-130	meV/atom

Lattice parameters (Å, degrees): 6.836 6.836 3.666 77.45 77.45 118.05
Fractional positions:
Ba 0.500 0.000 0.500
In 0.000 0.500 0.500
Tl 0.000 0.000 0.000
Tl 0.500 0.500 0.000



(2)
Computed, not measured: a geometry-optimized CsTl2PdBr8 structure at the PBE level of DFT.

Properties
total moment	1.02	μB/f.u.
electronic total energy	-2.589	eV/atom
ΔE_f (raw)	-575.6	meV per atom

Lattice parameters (Å, degrees): 6.994 6.994 11.539 72.36 72.36 60.00
Site moments in Bohr magnetons follow the coordinates.
Fractional positions:
Cs 0.000 0.000 0.000  0.00
Tl 0.754 0.754 0.739  0.00
Tl 0.246 0.246 0.261  0.00
Pd 0.500 0.500 0.500  0.65
Br 0.672 0.672 0.985  0.00
Br 0.328 0.328 0.015  0.00
Br 0.576 0.245 0.332  0.04
Br 0.755 0.424 0.668  0.04
Br 0.154 0.755 0.668  0.04
Br 0.245 0.846 0.332  0.04
Br 0.846 0.576 0.332  0.04
Br 0.424 0.154 0.668  0.04



(3)
Computed, not measured: a geometry-optimized Pm2Zn3Ga4Cu structure at the PBE level of DFT.

Properties
total moment	0.00	μB/f.u.
electronic total energy	-3.414	eV/atom
calculated formation energy	-461	meV/atom

Lattice parameters (Å, degrees): 4.239 4.239 10.479 90.00 90.00 90.00
Fractional positions:
Pm 0.500 0.000 0.254
Pm 0.000 0.500 0.746
Zn 0.000 0.000 0.500
Zn 0.500 0.000 0.860
Zn 0.000 0.500 0.140
Ga 0.500 0.500 0.000
Ga 0.000 0.000 0.000
Ga 0.500 0.000 0.627
Ga 0.000 0.500 0.373
Cu 0.500 0.500 0.500



(4)
Computed, not measured: a geometry-optimized Tb3TlH structure at the PBE level of DFT.

Properties
total moment	0.00	μB/f.u.
electronic total energy	-4.189	eV/atom
offset from the most stable computed form	0.030	eV per atom

Lattice parameters (Å, degrees): 3.653 6.766 10.012 99.29 90.00 90.00
Fractional positions:
Tb 0.750 0.602 0.366
Tb 0.250 0.398 0.634
Tb 0.750 0.218 0.901
Tb 0.250 0.909 0.623
Tb 0.250 0.782 0.099
Tb 0.750 0.091 0.377
Tl 0.250 0.292 0.163
Tl 0.750 0.708 0.837
H 0.250 0.838 0.358
H 0.750 0.162 0.642



(5)
Computed, not measured: a geometry-optimized MnMo2Os structure at the PBE level of DFT.

Properties
total moment	2.68	μB/f.u.
electronic total energy	-10.376	eV/atom
calculated formation energy	140	meV/atom
offset from the most stable computed form	0.049	eV per atom

Lattice parameters (Å, degrees): 4.249 2.709 5.278 75.77 90.00 90.00
Site moments in Bohr magnetons follow the coordinates.
Fractional positions:
Mn 0.500 0.750 0.750  2.58
Mo 0.000 0.992 0.996  -0.11
Mo 0.000 0.508 0.504  -0.11
Os 0.500 0.250 0.250  0.24



(6)
Computed, not measured: a geometry-optimized Re2SbBr structure at the PBE level of DFT.

Properties
total moment	0.00	μB/f.u.
electronic total energy	-6.642	eV/atom
ΔE_f (raw)	1031.2	meV per atom
offset from the most stable computed form	0.793	eV per atom

Lattice parameters (Å, degrees): 4.548 4.548 5.527 77.43 77.43 39.51
Fractional positions:
Re 0.005 0.005 0.033
Re 0.495 0.495 0.467
Br 0.250 0.250 0.250
Sb 0.750 0.750 0.750



(7)
Computed, not measured: a geometry-optimized BaCo2P structure at the PBE level of DFT.

Properties
total moment	0.00	μB/f.u.
electronic total energy	-5.740	eV/atom
calculated formation energy	-354	meV/atom

Lattice parameters (Å, degrees): 3.905 3.905 6.108 71.38 71.38 59.99
Fractional positions:
Ba 0.250 0.250 0.250
Co 0.059 0.059 0.823
Co 0.441 0.441 0.677
P 0.750 0.750 0.750



(8)
Computed, not measured: a geometry-optimized ThNi4B structure at the PBE level of DFT.

Properties
total moment	0.00	μB/f.u.
electronic total energy	-6.442	eV/atom
calculated formation energy	-239	meV/atom

Lattice parameters (Å, degrees): 3.831 3.831 6.037 90.00 90.00 90.00
Fractional positions:
Th 0.500 0.000 0.000
Ni 0.000 0.500 0.190
Ni 0.000 0.500 0.810
Ni 0.000 0.000 0.500
Ni 0.500 0.500 0.500
B 0.000 0.500 0.500



(9)
Computed, not measured: a geometry-optimized Pr2In2Ag15 structure at the PBE level of DFT.

Properties
total moment	0.00	μB/f.u.
electronic total energy	-3.137	eV/atom
calculated formation energy	-94	meV/atom

Lattice parameters (Å, degrees): 7.387 7.387 7.387 82.76 82.76 82.76
Fractional positions:
Pr 0.349 0.349 0.349
Pr 0.651 0.651 0.651
In 0.105 0.105 0.105
In 0.895 0.895 0.895
Ag 0.500 0.000 0.000
Ag 0.000 0.000 0.500
Ag 0.000 0.500 0.000
Ag 0.000 0.693 0.307
Ag 0.693 0.307 0.000
Ag 0.307 0.000 0.693
Ag 0.307 0.693 0.000
Ag 0.693 0.000 0.307
Ag 0.000 0.307 0.693
Ag 0.159 0.648 0.648
Ag 0.648 0.648 0.159
Ag 0.648 0.159 0.648
Ag 0.841 0.352 0.352
Ag 0.352 0.352 0.841
Ag 0.352 0.841 0.352



(10)
Computed, not measured: a geometry-optimized Sr3AsP2Pd9 structure at the PBE level of DFT.

Properties
total moment	0.00	μB/f.u.
electronic total energy	-5.158	eV/atom
calculated formation energy	-674	meV/atom

Lattice parameters (Å, degrees): 6.453 6.453 8.614 90.00 90.00 120.00
Fractional positions:
Sr 0.333 0.667 0.646
Sr 0.000 0.000 0.000
Sr 0.667 0.333 0.354
As 0.000 0.000 0.500
P 0.333 0.667 0.169
P 0.667 0.333 0.831
Pd 0.848 0.152 0.708
Pd 0.848 0.696 0.708
Pd 0.304 0.152 0.708
Pd 0.696 0.848 0.292
Pd 0.152 0.304 0.292
Pd 0.152 0.848 0.292
Pd 0.500 0.000 0.000
Pd 0.000 0.500 0.000
Pd 0.500 0.500 0.000



(11)
Computed, not measured: a geometry-optimized AgHg2Au structure at the PBE level of DFT.

Properties
total moment	0.00	μB/f.u.
electronic total energy	-1.561	eV/atom
calculated formation energy	122	meV/atom

Lattice parameters (Å, degrees): 4.861 4.861 4.861 60.00 60.00 60.00
Fractional positions:
Au 0.250 0.250 0.250
Hg 0.000 0.000 0.000
Hg 0.750 0.750 0.750
Ag 0.500 0.500 0.500



(12)
Computed, not measured: a geometry-optimized Ce2ThZn9 structure at the PBE level of DFT.

Properties
total moment	1.34	μB/f.u.
electronic total energy	-2.807	eV/atom
calculated formation energy	-244	meV/atom

Lattice parameters (Å, degrees): 5.449 5.449 9.334 73.03 73.03 60.00
Site moments in Bohr magnetons follow the coordinates.
Fractional positions:
Ce 0.854 0.854 0.439  0.56
Ce 0.146 0.146 0.561  0.56
Th 0.000 0.000 0.000  0.02
Zn 0.665 0.665 0.006  0.00
Zn 0.335 0.335 0.994  0.00
Zn 0.500 0.500 0.500  0.00
Zn 0.416 0.416 0.244  0.00
Zn 0.923 0.416 0.244  0.00
Zn 0.416 0.923 0.244  0.00
Zn 0.584 0.584 0.756  0.00
Zn 0.584 0.077 0.756  0.00
Zn 0.077 0.584 0.756  0.00